Here is an optimized crystal structure of CdCoPt2 from Alexandria via LeMat-Bulk. Energies are from GGA-PBE.

Lattice parameters (Å, degrees): 4.8030 4.8030 4.8030 130.71 130.70 72.29
Site moments in Bohr magnetons follow the coordinates.
Fractional positions:
1 Cd 0.7500 0.2500 0.5000  -0.01
2 Co 0.2500 0.7500 0.5000  1.92
3 Pt 0.0000 0.0000 0.0000  0.22
4 Pt 0.5000 0.5000 0.0000  0.22

- Spin magnetization: 2.29 Bohr magnetons per cell
- Total DFT energy (no corrections): -5.1013 eV per atom
- Space-group type: I4/mmm